Record 1
Here is a relaxed LaEr2Th crystal from Alexandria. Energies are from GGA-PBE.

Values from the calculation:
The energy relative to the lowest polymorph listed for this composition comes out at 10 meV/atom. As for the energy relative to the elements: 0.05 eV/f.u. The crystal system is tetragonal. As for the calculated density: 8.99 g/cm3. Its calculated total energy is -0.3936 Ry/atom.

Unit cell a=3.6120 b=3.6120 c=9.9877 alpha=90.00 beta=90.00 gamma=90.00
Space group P4/mmm (No. 123)
One atom of each set of equivalent atoms:
1 La 0.0000 0.0000 0.0000 [1 per cell]
2 Er 0.5000 0.5000 0.2620 [2 per cell]
3 Th 0.0000 0.0000 0.5000 [1 per cell]


Record 2
Here is a relaxed La5Er5Th2 crystal from Alexandria. Energies are from GGA-PBE.

Values from the calculation:
As for the energy relative to the elements: 0.48 eV/f.u. The crystal system is monoclinic. As for the calculated density: 8.25 g/cm3. Its calculated total energy is -0.3786 Ry/atom.

Unit cell a=15.4521 b=5.0663 c=11.4998 alpha=90.00 beta=116.94 gamma=90.00
Space group C2/m (No. 12)
One atom of each set of equivalent atoms:
1 La 0.0000 0.0000 0.0000 [2 per cell]
2 La 0.0789 0.0000 0.7462 [4 per cell]
3 La 0.2503 0.0000 0.2567 [4 per cell]
4 Er 0.0000 0.5000 0.5000 [2 per cell]
5 Er 0.0860 0.5000 0.2572 [4 per cell]
6 Er 0.1675 0.5000 0.0017 [4 per cell]
7 Th 0.1690 0.0000 0.4982 [4 per cell]


Record 3
Here is a relaxed La2Er4Th crystal from Alexandria. Energies are from GGA-PBE.

Values from the calculation:
The energy relative to the lowest polymorph listed for this composition comes out at 692 meV/atom. As for the energy relative to the elements: 5.08 eV/f.u. The crystal system is tetragonal. As for the calculated density: 7.03 g/cm3. Its calculated total energy is -0.3197 Ry/atom.

Unit cell a=5.6930 b=5.6930 c=17.1951 alpha=90.00 beta=90.00 gamma=90.00
Space group I4/mmm (No. 139)
One atom of each set of equivalent atoms:
1 La 0.0000 0.0000 0.1202 [4 per cell]
2 Er 0.0000 0.0000 0.3227 [4 per cell]
3 Er 0.0000 0.5000 0.0000 [4 per cell]
4 Th 0.0000 0.0000 0.5000 [2 per cell]